No. 1
InMo3: relaxed, GGA-PBE.

Output
The calculation puts the formation energy at 3.60 eV per atom. Its density of states at the Fermi level is 8.2 states/eV/f.u.

```
InMo3
1.0
4.9890 0.0000 0.0000
0.0000 4.9890 0.0000
0.0000 0.0000 4.9890
Mo In
3 1
Cartesian
2.4945 0.0000 0.0000
0.0000 2.4945 0.0000
0.0000 0.0000 2.4945
0.0000 0.0000 0.0000
```

---

No. 2
InMo3: relaxed, GGA-PBE.

Output
The calculation puts the formation energy at 0.34 eV per atom. Its density of states at the Fermi level is 3.0 states/eV/f.u.

```
InMo3
1.0
-2.8237 -0.4453 4.5495
2.1191 -4.5083 -2.0133
2.7809 4.5411 -0.7169
Mo In
3 1
Cartesian
-0.3523 -2.4768 1.2681
-0.0214 2.0479 1.9163
2.4500 0.0164 -1.3651
0.0000 0.0000 0.0000
```

---

No. 3
In3Mo2: relaxed, GGA-PBE.

Output
The distance to the lowest polymorph of the same formula comes out at 0.00 eV per formula unit. The calculation puts the formation energy at 0.28 eV per atom. Its density of states at the Fermi level is 1.2 states/eV/f.u.

```
In3Mo2
1.0
2.3462 -4.0637 0.0000
2.3462 4.0637 0.0000
0.0000 0.0000 5.6838
In Mo
3 2
Cartesian
2.3462 -1.3546 3.4292
0.0000 0.0000 0.0000
2.3462 1.3546 2.2546
2.3462 1.3546 5.1867
2.3462 -1.3546 0.4971
```

---

No. 4
InMo3: relaxed, GGA-PBE.

Output
The calculation puts the formation energy at 0.34 eV per atom. Its density of states at the Fermi level is 3.0 states/eV/f.u.

```
InMo3
1.0
5.7021 0.0000 0.0000
0.0000 5.7014 0.0000
0.0000 0.0000 8.3333
Mo In
12 4
Cartesian
4.4231 4.4225 8.3333
1.5720 4.1296 4.1666
1.2790 1.2789 0.0000
4.1301 1.5718 8.3333
5.7021 0.0001 6.2500
2.8510 2.8506 2.0833
1.2790 1.2789 4.1666
4.1301 1.5718 4.1667
2.8511 2.8508 6.2500
1.5720 4.1296 0.0000
4.4231 4.4225 4.1667
0.0000 5.7013 2.0833
5.7020 2.8506 2.0833
2.8511 5.7013 2.0833
2.8510 0.0000 6.2500
0.0001 2.8507 6.2500
```